DFT (GGA+U) results for crystalline Na5V12O32 at its relaxed geometry.

Lattice parameters (Å, degrees): 8.386 8.386 12.392 106.33 106.33 51.77
Positions (direct):
Na  0.000  0.000  0.000
Na  0.248  0.751  0.645
Na  0.502  0.502  0.996
Na  0.533  0.533  0.382
Na  0.751  0.248  0.645
V  0.068  0.569  0.781
V  0.182  0.182  0.862
V  0.287  0.287  0.132
V  0.337  0.337  0.403
V  0.406  0.907  0.235
V  0.464  0.964  0.510
V  0.569  0.068  0.781
V  0.682  0.682  0.863
V  0.789  0.789  0.134
V  0.841  0.841  0.404
V  0.907  0.406  0.235
V  0.964  0.464  0.510
O  0.009  0.508  0.149
O  0.054  0.554  0.394
O  0.075  0.075  0.773
O  0.082  0.579  0.646
O  0.170  0.170  0.998
O  0.176  0.676  0.870
O  0.195  0.195  0.245
O  0.241  0.241  0.488
O  0.279  0.279  0.783
O  0.310  0.807  0.127
O  0.360  0.360  0.058
O  0.375  0.866  0.356
O  0.377  0.377  0.281
O  0.396  0.878  0.580
O  0.439  0.439  0.507
O  0.470  0.970  0.860
O  0.508  0.009  0.149
O  0.554  0.054  0.394
O  0.575  0.575  0.774
O  0.579  0.082  0.646
O  0.670  0.670  0.998
O  0.676  0.176  0.870
O  0.695  0.695  0.243
O  0.743  0.743  0.489
O  0.780  0.780  0.783
O  0.807  0.310  0.127
O  0.859  0.859  0.057
O  0.866  0.375  0.356
O  0.877  0.877  0.280
O  0.878  0.396  0.580
O  0.938  0.938  0.511
O  0.970  0.470  0.860

- calculated density (g cm⁻³) = 3.16
- raw total energy (eV per cell) = -347.82